A relaxed structure of BaSiPt3. Source: the Alexandria database, functional GGA-PBE.

Spin magnetization (μB/atom): 0.0000
E_form (uncorrected) (kJ/mol of formula units): -240.7
Offset from the most stable computed form (meV/atom): 212
DOS(E_F) (states/eV/atom): 0.670

Lattice parameters (Å, degrees): 4.768 4.768 4.768 90.00 90.00 90.00
Space group Pm-3m (No. 221)
Asymmetric unit:
Ba 0.000 0.000 0.000 (multiplicity 1)
Si 0.500 0.500 0.500 (multiplicity 1)
Pt 0.000 0.500 0.500 (multiplicity 3)



A relaxed structure of LiNiIr2. Source: the Alexandria database, functional GGA-PBE.

Spin magnetization (μB/atom): 0.0009
ΔE_f (eV per atom): 0.04
Offset from the most stable computed form (meV/atom): 116
DOS(E_F) (states/eV/atom): 1.090

Lattice parameters (Å, degrees): 2.6847 2.6847 26.1854 90.00 90.00 120.00
Space group R3m (No. 160, hexagonal axes)
Asymmetric unit:
Li 0.0000 0.0000 0.0000 (multiplicity 3)
Ni 0.0000 0.0000 0.7492 (multiplicity 3)
Ir 0.0000 0.0000 0.2477 (multiplicity 3)
Ir 0.0000 0.0000 0.4946 (multiplicity 3)



A relaxed structure of Ce2Co4P3Pt. Source: the Alexandria database, functional GGA-PBE.

Spin magnetization (μB/atom): 0.0000
ΔE_f (eV per atom): -0.86
DOS(E_F) (states/eV/atom): 0.599

Lattice parameters (Å, degrees): 3.758 3.758 10.432 90.00 90.00 90.00
Space group P-4m2 (No. 115)
Asymmetric unit:
Ce 0.000 0.500 0.246 (multiplicity 2)
Co 0.000 0.000 0.500 (multiplicity 1)
Co 0.000 0.500 0.829 (multiplicity 2)
Co 0.500 0.500 0.500 (multiplicity 1)
P 0.000 0.000 0.000 (multiplicity 1)
P 0.000 0.500 0.619 (multiplicity 2)
Pt 0.500 0.500 0.000 (multiplicity 1)



A relaxed structure of Th4Pd2C. Source: the Alexandria database, functional GGA-PBE.

Spin magnetization (μB/atom): 0.0000
ΔE_f (eV per atom): -0.43
Offset from the most stable computed form (meV/atom): 0
DOS(E_F) (states/eV/atom): 0.724

Lattice parameters (Å, degrees): 15.377 3.698 6.576 90.00 113.30 90.00
Space group C2/m (No. 12)
Asymmetric unit:
Th 0.090 0.000 0.413 (multiplicity 4)
Th 0.114 0.500 0.966 (multiplicity 4)
Pd 0.241 0.500 0.686 (multiplicity 4)
C 0.000 0.000 0.000 (multiplicity 2)